Density functional theory data (PBE) for a relaxed Mn3TcAs crystal.

Computed properties:
M_tot	2.34	μB/f.u.
final energy	-0.2662	Ha/atom
E above lowest polymorph	73.7	meV per atom
DFT formation energy	1.2613	eV per atom

POSCAR file:
```
Mn3TcAs
1.0
-0.0775 -0.9734 -4.1115
-2.9577 -2.9241 0.7481
-3.0173 2.8914 -0.6276
As Mn Tc
1 3 1
Cartesian
0.0000 0.0000 0.0000
-1.4788 -1.4621 0.3740
-1.5087 1.4457 -0.3138
-0.0388 -0.4867 -2.0558
-3.0263 -0.5031 -1.9955
```

Density functional theory data (PBE) for a relaxed HoAlHgAu crystal.

Computed properties:
M_tot	0.00	μB/f.u.
final energy	-0.1276	Ha/atom
DFT formation energy	-0.4978	eV per atom

POSCAR file:
```
HoAlHgAu
1.0
4.9050 0.0000 0.0000
2.4525 4.2478 0.0000
2.4525 1.4159 4.0049
Al Au Hg Ho
1 1 1 1
Cartesian
2.4525 1.4159 1.0012
4.9050 2.8319 2.0024
0.0000 0.0000 0.0000
7.3574 4.2478 3.0037
```

Density functional theory data (PBE) for a relaxed Tb2CeSi crystal.

Computed properties:
M_tot	1.06	μB/f.u.
final energy	-0.1882	Ha/atom
E above lowest polymorph	296.1	meV per atom

POSCAR file:
```
Tb2CeSi
1.0
-0.4548 2.7962 2.0412
-3.0722 0.5332 1.5715
2.2086 -4.5782 9.7502
Si Tb Ce
1 2 1
Cartesian
-0.6592 -0.6244 6.6815
1.1492 -2.7978 7.0752
-2.4677 1.5490 6.2878
0.0000 0.0000 0.0000
```

Density functional theory data (PBE) for a relaxed CoTeAs2 crystal.

Computed properties:
M_tot	0.73	μB/f.u.
final energy	-0.1571	Ha/atom

POSCAR file:
```
CoTeAs2
1.0
-3.7449 3.0135 -0.2573
-1.2749 -4.0631 2.2445
0.9360 1.4296 3.1196
As Co Te
2 1 1
Cartesian
0.0000 0.0000 0.0000
-2.5099 -0.5248 0.9936
-1.4045 2.2216 1.4312
-0.1695 -1.3168 2.6820
```

Density functional theory data (PBE) for a relaxed TbSc3Bi4 crystal.

Computed properties:
M_tot	0.00	μB/f.u.
final energy	-0.2058	Ha/atom
DFT formation energy	-0.7060	eV per atom

POSCAR file:
```
TbSc3Bi4
1.0
4.3252 -0.0544 0.0728
0.0549 7.1941 2.1001
-0.1209 0.4173 7.4820
Sc Tb Bi
3 1 4
Cartesian
2.1020 0.1824 3.7773
4.2040 0.3636 7.5550
4.2920 3.7520 4.8640
2.0690 3.9881 8.5683
4.2774 5.7276 7.2018
2.1735 5.5144 3.5337
4.3067 1.7770 2.5257
2.0853 2.0440 6.1215
```

Density functional theory data (PBE) for a relaxed ScAlTl2 crystal.

Computed properties:
M_tot	0.25	μB/f.u.
final energy	-0.1304	Ha/atom
E above lowest polymorph	240.2	meV per atom
DFT formation energy	0.1533	eV per atom

POSCAR file:
```
ScAlTl2
1.0
-1.5444 2.8404 0.9869
-1.8975 -2.2303 -1.6889
-2.4417 -4.2146 8.3091
Sc Tl Al
1 2 1
Cartesian
-3.5522 -2.8559 5.8809
-0.0260 -0.0449 0.0886
-1.1948 -2.0624 4.0660
-2.3313 -0.7486 1.7263
```

Density functional theory data (PBE) for a relaxed Mo2C crystal.

Computed properties:
M_tot	0.00	μB/f.u.
final energy	-0.3742	Ha/atom
DFT formation energy	0.1129	eV per atom

POSCAR file:
```
Mo2C
1.0
-1.9576 -0.9402 -1.8087
-0.4750 -5.8315 3.5456
-5.3999 3.0343 4.2672
Mo C
8 4
Cartesian
-4.9255 2.2295 3.0680
-3.4375 -2.6196 1.7701
-4.3951 -1.1178 4.2339
-2.9071 -5.9669 2.9360
-3.1789 0.2024 2.2313
-6.9279 0.3873 3.9848
-0.9047 -4.1247 2.0193
-4.6537 -3.9398 3.7727
-2.4798 -3.7860 3.5480
-6.1437 -2.5562 4.6662
-1.6888 -1.1812 1.3379
-5.3527 0.0485 2.4560
```

Density functional theory data (PBE) for a relaxed SrLa2AlN crystal.

Computed properties:
M_tot	0.00	μB/f.u.
final energy	-0.1968	Ha/atom

POSCAR file:
```
SrLa2AlN
1.0
5.0973 0.0000 0.0000
0.0000 5.0973 0.0000
0.0000 0.0000 5.2242
Sr N Al La
1 1 1 2
Cartesian
0.0000 0.0000 2.6121
0.0000 0.0000 0.0000
2.5487 2.5487 2.6121
0.0000 2.5487 0.0000
2.5487 0.0000 0.0000
```

Density functional theory data (PBE) for a relaxed Be2TlPb crystal.

Computed properties:
M_tot	0.00	μB/f.u.
final energy	-0.0970	Ha/atom
E above lowest polymorph	228.9	meV per atom
DFT formation energy	0.7413	eV per atom

POSCAR file:
```
Be2TlPb
1.0
-4.6690 -1.4978 -0.3370
1.3704 -3.6558 2.9856
-0.0065 4.8176 0.9735
Pb Be Tl
1 2 1
Cartesian
-0.1427 -0.7075 2.6417
-3.0532 -4.7702 2.4517
-1.8946 -2.9601 1.5213
-3.1624 0.3715 0.9804
```

Density functional theory data (PBE) for a relaxed NdCuHg crystal.

Computed properties:
M_tot	0.00	μB/f.u.
final energy	-0.1243	Ha/atom
DFT formation energy	-0.3275	eV per atom

POSCAR file:
```
NdCuHg
1.0
3.8873 0.0000 0.0000
0.0000 7.7313 0.0000
0.0000 0.0000 13.5484
Nd Cu Hg
6 6 6
Cartesian
0.0000 1.8808 12.9045
0.0000 5.8505 0.6439
0.0000 1.8808 7.4181
0.0000 5.8505 6.1303
0.0000 1.1556 3.3871
0.0000 6.5757 10.1613
1.9437 0.3997 1.1900
1.9437 7.3316 12.3583
1.9437 0.3997 5.5841
1.9437 7.3316 7.9642
0.0000 4.2799 3.3871
0.0000 3.4515 10.1613
1.9437 3.2553 1.6217
1.9437 4.4761 11.9267
1.9437 3.2553 5.1525
1.9437 4.4761 8.3959
1.9437 6.2764 3.3871
1.9437 1.4549 10.1613
```

Density functional theory data (PBE) for a relaxed KBeCr2 crystal.

Computed properties:
M_tot	0.16	μB/f.u.
final energy	-0.1903	Ha/atom
DFT formation energy	0.8402	eV per atom

POSCAR file:
```
KBeCr2
1.0
4.3512 -0.0109 0.0786
3.3360 2.7935 0.0786
0.8498 0.3076 6.8879
Cr K Be
2 1 1
Cartesian
0.8803 0.3186 6.7971
2.2545 0.8161 0.8575
4.1927 1.5176 3.6244
6.3278 2.2905 6.1764
```

Density functional theory data (PBE) for a relaxed RePbBr crystal.

Computed properties:
M_tot	0.00	μB/f.u.
final energy	-0.1878	Ha/atom
E above lowest polymorph	99.8	meV per atom

POSCAR file:
```
RePbBr
1.0
7.4885 0.0032 0.0000
6.1501 4.2726 0.0000
-6.8193 -2.1379 2.2371
Pb Re Br
1 1 1
Cartesian
4.0780 1.2785 0.0000
8.8869 2.7861 0.0000
0.6737 0.2112 0.0000
```

> Among the records above, which one has the lowest final energy?

Mo2C